First-principles (PBE) data for a relaxed structure of NaTl3CdHg, as listed in Alexandria via LeMat-Bulk.

Values from the calculation:
Raw total energy = -1.659 eV/atom
Energy of formation from the pure elements = -0.0529 eV per atom

a = 7.3239 Å, b = 4.8566 Å, c = 9.9849 Å
α = 90.00°, β = 109.76°, γ = 90.00°
Element x y z (fractional)
Na 0.0049 0.2500 0.1333
Na 0.9951 0.7500 0.8667
Tl 0.3279 0.2500 0.9544
Tl 0.3305 0.2500 0.4646
Tl 0.3344 0.7500 0.7084
Tl 0.6656 0.2500 0.2916
Tl 0.6695 0.7500 0.5354
Tl 0.6721 0.7500 0.0456
Cd 0.0050 0.7500 0.3798
Cd 0.9950 0.2500 0.6202
Hg 0.3035 0.7500 0.1999
Hg 0.6965 0.2500 0.8001

***

First-principles (PBE) data for a relaxed structure of TlAgSe2, as listed in Alexandria via LeMat-Bulk.

Values from the calculation:
Raw total energy = -3.030 eV/atom
Formation energy (no corrections) = 2 kJ/mol of atoms

a = 5.0924 Å, b = 5.0924 Å, c = 4.5179 Å
α = 102.73°, β = 102.73°, γ = 112.63°
Element x y z (fractional)
Tl 0.0000 0.0000 0.0000
Ag 0.5000 0.5000 0.0000
Se 0.0000 0.5000 0.5000
Se 0.5000 0.0000 0.5000

***

What is the formula in the second record? TlAgSe2

***

Which of these has the highest raw total energy? NaTl3CdHg

***

Which formula does entry 2 have? TlAgSe2